This record from Alexandria via LeMat-Bulk describes an optimized crystal structure of WIO3. The functional is PBE with a Hubbard U.

Cell: 4.185 4.185 4.185 Å, 90.00 90.00 90.00°
Fractional coordinates of all 5 atoms:
1 W 0.000 0.000 0.000
2 I 0.500 0.500 0.500
3 O 0.000 0.500 0.500
4 O 0.500 0.000 0.500
5 O 0.500 0.500 0.000

* total DFT energy (no corrections): -20.418 eV per cell